Density functional theory data (GGA-PBE) for an optimized crystal structure of TcHg2Ru.

Properties
The value obtained for the energy relative to the elements is 771 meV/atom. The energy above the most stable polymorph in this dataset comes out at 517 meV per atom. The value obtained for the total magnetic moment is 0.9 μB per formula unit. The energy is -4.291 eV/atom. The density of states at the Fermi level is 0.70 states/eV per atom.

a b c (Å): 6.5551 6.5551 6.5551
angles (deg): 90.00 90.00 90.00
With the nearest neighbours (Å) after each atom.
Space group F-43m (No. 216)
Symmetry-distinct sites (fractional):
1 Tc 0.0000 0.0000 0.0000 x4  4 Ru 2.84, 4 Hg 2.84
2 Hg 0.0000 0.0000 0.5000 x4  4 Hg 2.84, 4 Ru 2.84
3 Hg 0.2500 0.2500 0.7500 x4  4 Tc 2.84, 4 Hg 2.84
4 Ru 0.2500 0.2500 0.2500 x4  4 Hg 2.84, 4 Tc 2.84